A relaxed structure of TlCr2Te4. Source: Alexandria via LeMat-Bulk, functional PBE.

Lattice parameters (Å, degrees): 3.9991 3.9991 14.1742 81.89 81.89 60.00
Closest atoms and distances in Å follow each position.
Fractional coordinates of all 7 atoms:
Cr 0.4286 0.4286 0.7143  6 Te 2.73-2.75
Cr 0.5714 0.5714 0.2857  6 Te 2.73-2.75
Tl 0.0000 0.0000 0.0000  6 Te 3.41
Te 0.1300 0.1300 0.6099  3 Cr 2.73
Te 0.2736 0.2736 0.1793  3 Cr 2.75
Te 0.7264 0.7264 0.8207  3 Cr 2.75
Te 0.8700 0.8700 0.3901  3 Cr 2.73

formation energy (no corrections) = -216.5 meV per atom
space-group type = No. 166

---

A relaxed structure of CeMg2Zn2Au2. Source: Alexandria via LeMat-Bulk, functional PBE.

Lattice parameters (Å, degrees): 4.5366 4.5366 8.5966 74.70 74.70 60.00
Closest atoms and distances in Å follow each position.
Fractional coordinates of all 7 atoms:
Ce 0.0000 0.0000 0.0000  6 Zn 3.25, 2 Mg 3.27, 6 Au 3.30
Mg 0.1331 0.1331 0.6006  3 Au 2.91, 4 Zn 2.95-3.00, 3 Mg 3.09
Mg 0.8669 0.8669 0.3994  3 Au 2.91, 4 Zn 2.95-3.00, 3 Mg 3.09
Zn 0.7449 0.7449 0.7653  3 Au 2.62
Zn 0.2551 0.2551 0.2347  3 Au 2.62
Au 0.5849 0.5849 0.2453  3 Zn 2.62, 3 Mg 2.91
Au 0.4151 0.4151 0.7547  3 Zn 2.62, 3 Mg 2.91

energy relative to the elements = -391.4 meV/atom
space-group type = No. 166

---

A relaxed structure of Tb2SmSe4. Source: Alexandria via LeMat-Bulk, functional PBE.

Lattice parameters (Å, degrees): 4.0162 7.0652 13.8874 90.00 90.00 106.51
Closest atoms and distances in Å follow each position.
Fractional coordinates of all 14 atoms:
Tb 0.1301 0.2603 0.4309  6 Se 2.84-2.94
Tb 0.8699 0.7397 0.9309  6 Se 2.84-2.94
Tb 0.1301 0.2603 0.0691  6 Se 2.84-2.94
Tb 0.8699 0.7397 0.5691  6 Se 2.84-2.94
Sm 0.6260 0.2521 0.7500  6 Se 2.94-3.00
Sm 0.3740 0.7479 0.2500  6 Se 2.94-3.00
Se 0.7756 0.5512 0.1214  3 Tb 2.91-2.94, 2 Sm 3.00
Se 0.7756 0.5512 0.3786  3 Tb 2.91-2.94, 2 Sm 3.00
Se 0.2244 0.4488 0.8786  3 Tb 2.91-2.94, 2 Sm 3.00
Se 0.2244 0.4488 0.6214  3 Tb 2.91-2.94, 2 Sm 3.00
Se 0.9673 0.9345 0.7500  2 Tb 2.84, 2 Sm 2.94
Se 0.0327 0.0655 0.2500  2 Tb 2.84, 2 Sm 2.94
Se 0.5000 0.0000 0.0000  4 Tb 2.84
Se 0.5000 0.0000 0.5000  4 Tb 2.84

offset from the most stable computed form = 0 meV per atom
formation energy (no corrections) = -1858.4 meV per atom
space-group type = No. 63

---

A relaxed structure of Sr4CaBr. Source: Alexandria via LeMat-Bulk, functional PBE.

Lattice parameters (Å, degrees): 7.7580 7.7580 7.7580 60.00 60.00 60.00
Closest atoms and distances in Å follow each position.
Fractional coordinates of all 6 atoms:
Sr 0.8785 0.3738 0.3738  6 Sr 3.84-3.92
Sr 0.3738 0.3738 0.8785  6 Sr 3.84-3.92
Sr 0.3738 0.8785 0.3738  6 Sr 3.84-3.92
Sr 0.3738 0.3738 0.3738  6 Sr 3.84-3.92
Ca 0.0000 0.0000 0.0000  12 Sr 4.54, 4 Br 4.75
Br 0.7500 0.7500 0.7500  12 Sr 4.55, 4 Ca 4.75

formation energy (no corrections) = 26.9 meV per atom
space-group type = No. 216

---

A relaxed structure of PmMgCuSn. Source: Alexandria via LeMat-Bulk, functional PBE.

Lattice parameters (Å, degrees): 5.0501 5.0501 5.0501 60.00 60.00 60.00
Closest atoms and distances in Å follow each position.
Fractional coordinates of all 4 atoms:
Mg 0.7500 0.7500 0.7500  4 Sn 3.09, 4 Cu 3.09
Sn 0.5000 0.5000 0.5000  4 Pm 3.09, 4 Mg 3.09
Cu 0.0000 0.0000 0.0000  4 Mg 3.09, 4 Pm 3.09
Pm 0.2500 0.2500 0.2500  4 Sn 3.09, 4 Cu 3.09

energy relative to the elements = -307.8 meV/atom
space-group type = No. 216

---

A relaxed structure of CrTeP2. Source: Alexandria via LeMat-Bulk, functional PBE.

Lattice parameters (Å, degrees): 4.5768 4.5768 4.5768 109.91 109.91 108.60
Closest atoms and distances in Å follow each position.
Fractional coordinates of all 4 atoms:
Cr 0.7500 0.2500 0.5000  6 P 2.67-2.95, 4 Te 2.95
P 0.0000 0.0000 0.0000  2 Te 2.67, 4 Cr 2.95, 4 P 2.95
P 0.2500 0.7500 0.5000  2 Cr 2.67, 4 Te 2.95, 4 P 2.95
Te 0.5000 0.5000 0.0000  6 P 2.67-2.95, 4 Cr 2.95

formation energy (no corrections) = 600.8 meV per atom
space-group type = No. 119

---

A relaxed structure of Y3HfIn. Source: Alexandria via LeMat-Bulk, functional PBE.

Lattice parameters (Å, degrees): 5.6290 5.6290 5.6290 90.00 90.00 90.00
Closest atoms and distances in Å follow each position.
Fractional coordinates of all 5 atoms:
Y 0.0000 0.5000 0.0000  2 In 2.81
Y 0.0000 0.0000 0.5000  2 In 2.81
Y 0.5000 0.0000 0.0000  2 In 2.81
Hf 0.5000 0.5000 0.5000  12 Y 3.98
In 0.0000 0.0000 0.0000  6 Y 2.81

energy relative to the elements = 764.5 meV/atom
offset from the most stable computed form = 150 meV per atom
space-group type = No. 221

---

A relaxed structure of Ho3GaCo. Source: Alexandria via LeMat-Bulk, functional PBE.

Lattice parameters (Å, degrees): 4.9537 7.2812 6.7360 94.35 90.00 90.00
Closest atoms and distances in Å follow each position.
Fractional coordinates of all 10 atoms:
Ho 0.5431 0.9607 0.6600  1 Co 2.57
Ho 0.5430 0.3407 0.0053  3 Co 2.66-2.91
Ho 0.0431 0.1832 0.4051  1 Co 2.54
Ho 0.0432 0.6503 0.8562  3 Co 2.49-2.78
Ho 0.5431 0.5217 0.4549  1 Co 2.60
Ho 0.5432 0.8872 0.1479  1 Co 2.66
Ga 0.0432 0.7692 0.3862  1 Co 2.48
Ga 0.0431 0.1143 0.9372  1 Co 2.98, 5 Ho 2.99-3.25
Co 0.5431 0.6536 0.8247  6 Ho 2.49-2.66
Co 0.0430 0.4622 0.1996  1 Ga 2.48, 2 Ho 2.54-2.78

energy relative to the elements = -229.3 meV/atom
offset from the most stable computed form = 105 meV per atom
space-group type = No. 6

---

A relaxed structure of DyTmTlOs. Source: Alexandria via LeMat-Bulk, functional PBE.

Lattice parameters (Å, degrees): 5.0317 5.0317 5.0317 60.00 60.00 60.00
Closest atoms and distances in Å follow each position.
Fractional coordinates of all 4 atoms:
Tl 0.0000 0.0000 0.0000  4 Dy 3.08, 4 Tm 3.08
Tm 0.2500 0.2500 0.2500  4 Tl 3.08, 4 Os 3.08
Os 0.5000 0.5000 0.5000  4 Dy 3.08, 4 Tm 3.08
Dy 0.7500 0.7500 0.7500  4 Tl 3.08, 4 Os 3.08

energy relative to the elements = -166.5 meV/atom
space-group type = No. 216

---

A relaxed structure of Hf2ZrZn. Source: Alexandria via LeMat-Bulk, functional PBE.

Lattice parameters (Å, degrees): 3.9803 3.9803 6.9284 73.31 73.31 60.00
Closest atoms and distances in Å follow each position.
Fractional coordinates of all 4 atoms:
Hf 0.0682 0.0682 0.7953  3 Zn 2.65
Hf 0.2658 0.2658 0.2026  3 Zn 2.66
Zr 0.4981 0.4981 0.5056  6 Hf 2.98-3.03, 1 Zn 3.33
Zn 0.6678 0.6678 0.9965  6 Hf 2.65-2.66

energy relative to the elements = 492.7 meV/atom
space-group type = No. 160

---

A relaxed structure of Cs4H2Br3. Source: Alexandria via LeMat-Bulk, functional PBE.

Lattice parameters (Å, degrees): 4.7872 9.4747 10.4002 117.10 103.31 90.00
Closest atoms and distances in Å follow each position.
Fractional coordinates of all 9 atoms:
Cs 0.1309 0.8620 0.2617  1 H 3.18
Cs 0.8691 0.6003 0.7383  1 H 3.18
Cs 0.8691 0.1380 0.7383  1 H 3.18
Cs 0.1309 0.3997 0.2617  1 H 3.18
H 0.0000 0.9591 0.0000  1 H 0.77
H 0.0000 0.0409 0.0000  1 H 0.77
Br 0.7021 0.2021 0.4042  6 Cs 3.70-3.72
Br 0.5000 0.5000 0.0000  8 Cs 4.00
Br 0.2979 0.7979 0.5958  6 Cs 3.70-3.72

space-group type = No. 71

---

A relaxed structure of ZrPH. Source: Alexandria via LeMat-Bulk, functional PBE.

Lattice parameters (Å, degrees): 3.5303 3.6435 12.9056 90.00 105.53 90.00
Closest atoms and distances in Å follow each position.
Fractional coordinates of all 12 atoms:
Zr 0.7207 0.0000 0.0535  4 H 2.05-2.10
Zr 0.7207 0.5000 0.5535  4 H 2.05-2.10
Zr 0.4834 0.0000 0.3083  1 H 2.06
Zr 0.4834 0.5000 0.8083  1 H 2.06
P 0.1417 0.0000 0.4688  1 H 2.49, 6 Zr 2.66-2.76
P 0.1417 0.5000 0.9688  1 H 2.49, 6 Zr 2.66-2.76
P 0.9251 0.0000 0.7492  1 H 1.54
P 0.9251 0.5000 0.2492  1 H 1.54
H 0.3128 0.0000 0.1429  3 Zr 2.06-2.10
H 0.3128 0.5000 0.6429  3 Zr 2.06-2.10
H 0.8637 0.0000 0.6266  1 P 1.54
H 0.8637 0.5000 0.1266  1 P 1.54

offset from the most stable computed form = 226 meV per atom
space-group type = No. 8

---

A relaxed structure of InTeF2. Source: Alexandria via LeMat-Bulk, functional PBE.

Lattice parameters (Å, degrees): 4.2774 4.2774 8.8078 75.95 75.95 90.00
Closest atoms and distances in Å follow each position.
Fractional coordinates of all 8 atoms:
F 0.6437 0.1250 0.2500  2 Te 2.53, 2 In 2.60
F 0.1063 0.6250 0.2500  2 Te 2.53, 2 In 2.60
F 0.3750 0.3563 0.7500  2 Te 2.53, 2 In 2.60
F 0.8750 0.8937 0.7500  2 Te 2.53, 2 In 2.60
Te 0.0000 0.0000 0.0000  4 F 2.53
Te 0.7500 0.2500 0.5000  4 F 2.53
In 0.5000 0.5000 0.0000  4 F 2.60
In 0.2500 0.7500 0.5000  4 F 2.60

offset from the most stable computed form = 55 meV per atom
formation energy (no corrections) = -1193.7 meV per atom
space-group type = No. 122

---

Computed magnetic moment, in the same sequence as the records: 5.5, 1.0, 0.0, 0.0, 0.0, 3.5, 4.0, 0.0, 0.0, 0.0, 0.1, 0.0, 0.0 μB per formula unit.
Computed final energy, in the same sequence as the records: -35.7, -21.0, -40.9, -10.2, -15.7, -21.2, -28.3, -25.0, -23.3, -27.8, -24.9, -19.7, -14.4 eV per formula unit.